Below is a relaxed structure of PrSm3S3O4, with properties calculated at the PBE level.

abc: 8.286 6.544 6.544
angles: 34.76 90.00 90.00
Fractional coordinates of all 11 atoms:
Pr 0.000 0.000 0.000
Sm 0.266 0.676 0.676
Sm 0.500 0.985 0.985
Sm 0.734 0.676 0.676
S 0.131 0.337 0.337
S 0.500 0.303 0.303
S 0.869 0.337 0.337
O 0.000 0.608 0.608
O 0.259 0.075 0.075
O 0.500 0.578 0.578
O 0.741 0.075 0.075

Computed properties:
raw total energy: -7.45 eV/atom
spin magnetization: 0.01 μB per formula unit

***

Below is a relaxed structure of Ho2Tm2Al3, with properties calculated at the PBE level.

abc: 7.862 7.862 7.264
angles: 109.36 109.36 24.87
Fractional coordinates of all 7 atoms:
Ho 0.073 0.073 0.239
Ho 0.927 0.927 0.761
Tm 0.354 0.354 0.111
Tm 0.646 0.646 0.889
Al 0.240 0.240 0.646
Al 0.500 0.500 0.500
Al 0.760 0.760 0.354

Computed properties:
raw total energy: -4.30 eV/atom
spin magnetization: 0.01 μB per formula unit

***

Below is a relaxed structure of Ag2Pb, with properties calculated at the PBE level.

abc: 4.712 4.712 4.712
angles: 60.00 60.00 60.00
Fractional coordinates of all 3 atoms:
Ag 0.250 0.250 0.250
Ag 0.750 0.750 0.750
Pb 0.000 0.000 0.000

Computed properties:
raw total energy: -2.84 eV/atom

***

Below is a relaxed structure of BaLiHoTe3, with properties calculated at the PBE level.

abc: 9.901 9.901 9.494
angles: 103.29 103.29 26.40
Fractional coordinates of all 12 atoms:
Ba 0.136 0.136 0.067
Ba 0.864 0.864 0.933
Li 0.492 0.492 0.301
Li 0.508 0.508 0.699
Ho 0.165 0.165 0.583
Ho 0.835 0.835 0.417
Te 0.000 0.000 0.500
Te 0.327 0.327 0.195
Te 0.331 0.331 0.636
Te 0.500 0.500 0.000
Te 0.669 0.669 0.364
Te 0.673 0.673 0.805

Computed properties:
spin magnetization: 0.00 μB per formula unit
relative energy among the computed polymorphs: 23 meV/atom